1.
# LiNdMg2Au2 | Alexandria via LeMat-Bulk | PBE-GGA | relaxed
data_LiNdMg2Au2
_cell_length_a 4.367
_cell_length_b 4.367
_cell_length_c 15.390
_cell_angle_alpha 90.00
_cell_angle_beta 90.00
_cell_angle_gamma 90.00
_space_group_name_H-M_alt 'I 4/m m m'
_space_group_IT_number 139
_space_group_name_Hall '-I 4 2'
loop_
_atom_site_label
_atom_site_type_symbol
_atom_site_fract_x
_atom_site_fract_y
_atom_site_fract_z
Li1 Li 0.000 0.000 0.000
Nd1 Nd 0.000 0.000 0.500
Mg1 Mg 0.000 0.500 0.250
Au1 Au 0.000 0.000 0.149
# Mass density (Mg/m³): 6.72
# Formation energy (eV/f.u.): -1.02

2.
# LiNdMgAu2 | Alexandria via LeMat-Bulk | PBE-GGA | relaxed
data_LiNdMgAu2
_cell_length_a 4.038
_cell_length_b 4.038
_cell_length_c 13.280
_cell_angle_alpha 90.00
_cell_angle_beta 90.00
_cell_angle_gamma 90.00
_space_group_name_H-M_alt 'I -4 m 2'
_space_group_IT_number 119
_space_group_name_Hall 'I -4 -2'
loop_
_atom_site_label
_atom_site_type_symbol
_atom_site_fract_x
_atom_site_fract_y
_atom_site_fract_z
Li1 Li 0.000 0.000 0.000
Nd1 Nd 0.000 0.500 0.250
Mg1 Mg 0.000 0.000 0.500
Au1 Au 0.000 0.500 0.641
# Mass density (Mg/m³): 8.73
# Formation energy (eV/f.u.): -3.17